[1]
Here is an optimized crystal structure of LiYCd6 from Alexandria via LeMat-Bulk. Energies are from GGA-PBE.

Cell: 4.592 4.592 8.525 Å, 90.00 90.00 90.00°
Space group P4/mmm (No. 123)
Symmetry-distinct sites (fractional):
Li  0.000  0.000  0.000
Y  0.000  0.000  0.500
Cd  0.000  0.500  0.234
Cd  0.500  0.500  0.000
Cd  0.500  0.500  0.500

Distance to the lowest polymorph of the same formula in eV per atom: 0.002
Energy in eV/f.u.: -15.57


[2]
Here is an optimized crystal structure of HoTcN3 from Alexandria via LeMat-Bulk. Energies are from GGA-PBE.

Cell: 6.389 9.497 5.055 Å, 90.00 90.00 90.00°
Space group Pnma (No. 62)
Symmetry-distinct sites (fractional):
Ho  0.000  0.000  0.000
Tc  0.183  0.250  0.445
N  0.034  0.750  0.820
N  0.169  0.088  0.626

Energy in eV/f.u.: -42.57
Raw formation energy in eV per atom: -0.53


[3]
Here is an optimized crystal structure of FeCu3 from Alexandria via LeMat-Bulk. Energies are from GGA-PBE.

Cell: 2.5552 2.5552 25.2793 Å, 90.00 90.00 120.00°
Space group R-3m (No. 166, hexagonal axes)
Symmetry-distinct sites (fractional):
Fe  0.0000  0.0000  0.0000
Cu  0.0000  0.0000  0.2496
Cu  0.0000  0.0000  0.5000

Energy in eV/f.u.: -20.43